(1)
Entry from Alexandria: VIrPb3 after structural relaxation (PBE).

## Properties
polymorph energy (0 for the lowest one)	0.000	eV per atom
magnetic moment	3.582	μB per formula unit
energy of formation from the pure elements	0.87	eV per atom
space group	Pm-3m (221)
VASP energy	-4.95	eV/atom

Unit cell a=5.2950 b=5.2950 c=5.2950 alpha=90.00 beta=90.00 gamma=90.00
Element x y z (fractional)
1 Pb 0.0000 0.5000 0.0000
2 Pb 0.0000 0.0000 0.5000
3 Pb 0.5000 0.0000 0.0000
4 Ir 0.0000 0.0000 0.0000
5 V 0.5000 0.5000 0.5000


(2)
Entry from Alexandria: LaMnIr3 after structural relaxation (PBE).

## Properties
polymorph energy (0 for the lowest one)	0.000	eV per atom
magnetic moment	0.000	μB per formula unit
energy of formation from the pure elements	0.28	eV per atom
space group	Pm-3m (221)
VASP energy	-7.86	eV/atom

Unit cell a=4.5935 b=4.5935 c=4.5935 alpha=90.00 beta=90.00 gamma=90.00
Element x y z (fractional)
1 Ir 0.0000 0.5000 0.0000
2 Ir 0.0000 0.0000 0.5000
3 Ir 0.5000 0.0000 0.0000
4 Mn 0.0000 0.0000 0.0000
5 La 0.5000 0.5000 0.5000


(3)
Entry from Alexandria: BaAcPb2 after structural relaxation (PBE).

## Properties
magnetic moment	0.000	μB per formula unit
energy of formation from the pure elements	-0.51	eV per atom
space group	P4/mmm (123)
VASP energy	-3.87	eV/atom

Unit cell a=3.9038 b=3.9038 c=9.7641 alpha=90.00 beta=90.00 gamma=90.00
Element x y z (fractional)
1 Pb 0.0000 0.0000 0.7587
2 Pb 0.0000 0.0000 0.2413
3 Ac 0.5000 0.5000 0.0000
4 Ba 0.5000 0.5000 0.5000


(4)
Entry from Alexandria: Y2Si3Au6 after structural relaxation (PBE).

## Properties
magnetic moment	0.000	μB per formula unit
space group	P-62m (189)
VASP energy	-4.98	eV/atom

Unit cell a=4.3449 b=7.6008 c=7.6008 alpha=120.00 beta=90.00 gamma=90.00
Element x y z (fractional)
1 Y 0.0000 0.6667 0.3333
2 Y 0.0000 0.3333 0.6667
3 Si 0.5000 0.3575 0.3575
4 Si 0.5000 0.6425 0.0000
5 Si 0.5000 0.0000 0.6425
6 Au 0.5000 0.6734 0.6734
7 Au 0.5000 0.0000 0.3266
8 Au 0.0000 0.2175 0.2175
9 Au 0.0000 0.7825 0.0000
10 Au 0.5000 0.3266 0.0000
11 Au 0.0000 0.0000 0.7825


(5)
Entry from Alexandria: Tc2IrW after structural relaxation (PBE).

## Properties
polymorph energy (0 for the lowest one)	0.084	eV per atom
magnetic moment	0.000	μB per formula unit
energy of formation from the pure elements	-0.04	eV per atom
space group	C2/m (12)
VASP energy	-10.67	eV/atom

Unit cell a=4.7713 b=4.7713 c=4.8214 alpha=80.76 beta=80.76 gamma=33.60
Element x y z (fractional)
1 Ir 0.7500 0.7500 0.7500
2 Tc 0.0032 0.0032 0.9920
3 Tc 0.4968 0.4968 0.5080
4 W 0.2500 0.2500 0.2500


(6)
Entry from Alexandria: SiAsPbSe2 after structural relaxation (PBE).

## Properties
polymorph energy (0 for the lowest one)	0.927	eV per atom
magnetic moment	0.000	μB per formula unit
space group	P4/mmm (123)
VASP energy	-3.09	eV/atom

Unit cell a=5.4008 b=5.4008 c=5.3535 alpha=90.00 beta=90.00 gamma=90.00
Element x y z (fractional)
1 Pb 0.0000 0.0000 0.0000
2 As 0.0000 0.0000 0.5000
3 Si 0.5000 0.5000 0.5000
4 Se 0.0000 0.5000 0.0000
5 Se 0.5000 0.0000 0.0000